Density functional theory data (PBE+U) for Rb2TbWO6 after structural relaxation.

```
Rb2TbWO6
1.0
-3.023 -2.534 -4.430
2.609 -5.868 1.577
-5.683 1.943 2.766
Rb Tb W O
2 1 1 6
Cartesian
-3.212 -0.906 1.941
-2.885 -5.554 -2.027
-1.511 -1.267 -2.215
0.000 0.000 0.000
-3.569 -2.276 -2.567
-6.975 -1.112 -0.908
-5.412 -4.629 0.037
0.878 -5.348 0.823
-0.686 -1.830 -0.123
-2.528 -4.183 2.481
```

* electronic total energy: -6.417 eV/atom
* size of the total moment: 1.05 μB/cell